Entry 1:
First-principles (PBE) data for a geometry-optimized K2FeTc structure, as listed in Alexandria.

Calculated values
The calculated density is 4.4 g cm⁻³. The formation energy is 1.502 eV/atom. The energy above the most stable polymorph in this dataset is 265 kJ/mol of formula units. The magnetic moment is 1.39 μB per formula unit. For the total DFT energy (no corrections), the calculation gives -15.015 eV for the cell shown. The calculation puts the density of states at the Fermi level at 1.15 states/eV per atom. The symmetry is No. 123.

```
K2FeTc
1.0
3.899 0.000 0.000
0.000 3.899 0.000
0.000 0.000 5.744
K Fe Tc
2 1 1
Direct
0.000 0.500 0.000
0.500 0.000 0.000
0.000 0.000 0.500
0.500 0.500 0.500
```

---

Entry 2:
First-principles (PBE) data for a geometry-optimized KFe2Tc structure, as listed in Alexandria.

Calculated values
The calculated density is 6.9 g cm⁻³. The formation energy is 1.599 eV/atom. The energy above the most stable polymorph in this dataset is 348 kJ/mol of formula units. The magnetic moment is 0.00 μB per formula unit. For the total DFT energy (no corrections), the calculation gives -87.972 eV for the cell shown. The calculation puts the density of states at the Fermi level at 0.75 states/eV per atom. The symmetry is No. 225.

```
KFe2Tc
1.0
6.200 0.000 0.000
0.000 6.200 0.000
0.000 0.000 6.200
K Fe Tc
4 8 4
Direct
0.000 0.000 0.000
0.000 0.500 0.500
0.500 0.000 0.500
0.500 0.500 0.000
0.250 0.250 0.250
0.250 0.250 0.750
0.250 0.750 0.250
0.250 0.750 0.750
0.750 0.250 0.250
0.750 0.250 0.750
0.750 0.750 0.250
0.750 0.750 0.750
0.000 0.000 0.500
0.000 0.500 0.000
0.500 0.000 0.000
0.500 0.500 0.500
```

---

Entry 3:
First-principles (PBE) data for a geometry-optimized K2FeTc structure, as listed in Alexandria.

Calculated values
The calculated density is 4.0 g cm⁻³. The formation energy is 1.614 eV/atom. The energy above the most stable polymorph in this dataset is 308 kJ/mol of formula units. The magnetic moment is 5.27 μB per formula unit. For the total DFT energy (no corrections), the calculation gives -29.134 eV for the cell shown. The calculation puts the density of states at the Fermi level at 1.56 states/eV per atom. The symmetry is No. 119.

```
K2FeTc
1.0
5.155 0.000 0.000
0.000 5.155 0.000
0.000 0.000 7.273
K Fe Tc
4 2 2
Direct
0.000 0.000 0.000
0.000 0.500 0.250
0.500 0.000 0.750
0.500 0.500 0.500
0.000 0.000 0.500
0.500 0.500 0.000
0.000 0.500 0.750
0.500 0.000 0.250
```

---

Entry 4:
First-principles (PBE) data for a geometry-optimized K2FeTc structure, as listed in Alexandria.

Calculated values
The calculated density is 3.2 g cm⁻³. The formation energy is 1.055 eV/atom. The energy above the most stable polymorph in this dataset is 92 kJ/mol of formula units. The magnetic moment is 1.92 μB per formula unit. For the total DFT energy (no corrections), the calculation gives -33.610 eV for the cell shown. The calculation puts the density of states at the Fermi level at 0.99 states/eV per atom. The symmetry is No. 44.

```
K2FeTc
1.0
3.465 0.000 0.000
0.000 5.985 0.000
0.000 0.000 11.552
K Fe Tc
4 2 2
Direct
0.000 0.000 0.000
0.000 0.500 0.207
0.500 0.000 0.707
0.500 0.500 0.500
0.000 0.000 0.421
0.500 0.500 0.921
0.000 0.500 0.807
0.500 0.000 0.307
```

---

Entry 5:
First-principles (PBE) data for a geometry-optimized KFeTc2 structure, as listed in Alexandria.

Calculated values
The calculated density is 6.2 g cm⁻³. The formation energy is 1.274 eV/atom. The energy above the most stable polymorph in this dataset is 203 kJ/mol of formula units. The magnetic moment is 1.77 μB per formula unit. For the total DFT energy (no corrections), the calculation gives -50.392 eV for the cell shown. The calculation puts the density of states at the Fermi level at 1.38 states/eV per atom. The symmetry is No. 44.

```
KFeTc2
1.0
2.976 0.000 0.000
0.000 5.454 0.000
0.000 0.000 9.638
K Fe Tc
2 2 4
Direct
0.000 0.000 0.000
0.500 0.500 0.500
0.000 0.500 0.204
0.500 0.000 0.704
0.000 0.000 0.490
0.000 0.500 0.798
0.500 0.000 0.298
0.500 0.500 0.990
```

---

Entry 6:
First-principles (PBE) data for a geometry-optimized KFeTc2 structure, as listed in Alexandria.

Calculated values
The calculated density is 7.1 g cm⁻³. The formation energy is 1.294 eV/atom. The energy above the most stable polymorph in this dataset is 211 kJ/mol of formula units. The magnetic moment is 3.03 μB per formula unit. For the total DFT energy (no corrections), the calculation gives -50.232 eV for the cell shown. The calculation puts the density of states at the Fermi level at 1.36 states/eV per atom. The symmetry is No. 12.

```
KFeTc2
1.0
5.409 0.000 0.000
0.000 10.104 0.000
-0.673 0.000 2.476
K Fe Tc
2 2 4
Direct
0.000 0.000 0.000
0.500 0.500 0.000
0.000 0.500 0.000
0.500 0.000 0.000
0.250 0.250 0.500
0.250 0.750 0.500
0.750 0.250 0.500
0.750 0.750 0.500
```

---

Entry 7:
First-principles (PBE) data for a geometry-optimized KFeTc2 structure, as listed in Alexandria.

Calculated values
The calculated density is 5.7 g cm⁻³. The formation energy is 0.959 eV/atom. The energy above the most stable polymorph in this dataset is 81 kJ/mol of formula units. The magnetic moment is 1.37 μB per formula unit. For the total DFT energy (no corrections), the calculation gives -52.913 eV for the cell shown. The calculation puts the density of states at the Fermi level at 1.19 states/eV per atom. The symmetry is No. 12.

```
KFeTc2
1.0
8.881 0.000 0.000
0.000 2.731 0.000
-0.737 0.000 6.944
K Fe Tc
2 2 4
Direct
0.000 0.000 0.000
0.500 0.500 0.000
0.000 0.500 0.500
0.500 0.000 0.500
0.217 0.000 0.638
0.283 0.500 0.362
0.717 0.500 0.638
0.783 0.000 0.362
```

---

Entry 8:
First-principles (PBE) data for a geometry-optimized KFe2Tc structure, as listed in Alexandria.

Calculated values
The calculated density is 6.2 g cm⁻³. The formation energy is 1.221 eV/atom. The energy above the most stable polymorph in this dataset is 202 kJ/mol of formula units. The magnetic moment is 6.07 μB per formula unit. For the total DFT energy (no corrections), the calculation gives -23.505 eV for the cell shown. The calculation puts the density of states at the Fermi level at 1.55 states/eV per atom. The symmetry is No. 123.

```
KFe2Tc
1.0
5.079 0.000 0.000
0.000 5.079 0.000
0.000 0.000 2.591
K Fe Tc
1 2 1
Direct
0.000 0.000 0.000
0.000 0.500 0.500
0.500 0.000 0.500
0.500 0.500 0.000
```

---

- What is the magnetic moment in the eighth record?
  6.07 μB per formula unit

---

- The highest calculated density belongs to which entry?
  number 6